DFT (PBE+U) results for a relaxed structure of CrAgPbF6.

Output
The volume comes out at 300.5 Å³/cell. Its total DFT energy (no corrections) is -5.057 eV per atom. The total magnetization comes out at 2.9 μB per formula unit.

abc: 5.3252 5.3252 10.5957
angles: 90.00 90.00 90.00
Last column: nearest neighbours and their distance in Å.
Atoms (fractional coordinates):
Cr  0.5000  0.5000  0.8338  6 F 1.96
Cr  0.0000  0.0000  0.3338  6 F 1.96
Ag  0.5000  0.5000  0.4952  6 F 2.45-2.53
Ag  0.0000  0.0000  0.9952  6 F 2.45-2.53
Pb  0.5000  0.5000  0.1733  6 F 2.45-2.53
Pb  0.0000  0.0000  0.6733  6 F 2.45-2.53
F  0.1766  0.8234  0.4700  1 Cr 1.96
F  0.8234  0.1766  0.4700  1 Cr 1.96
F  0.3234  0.3234  0.9700  1 Cr 1.96
F  0.6766  0.6766  0.9700  1 Cr 1.96
F  0.1768  0.8232  0.1979  1 Cr 1.96
F  0.8232  0.1768  0.1979  1 Cr 1.96
F  0.3232  0.3232  0.6979  1 Cr 1.96
F  0.6768  0.6768  0.6979  1 Cr 1.96
F  0.7596  0.2404  0.8310  1 Cr 1.96
F  0.2404  0.7596  0.8310  1 Cr 1.96
F  0.7404  0.7404  0.3310  1 Cr 1.96
F  0.2596  0.2596  0.3310  1 Cr 1.96